Compound: IrRu2Pt
Source: the Alexandria database
Functional: GGA-PBEsol
Structure: optimized geometry

POSCAR file:
```
IrRu2Pt
1.0
2.693 0.000 0.000
0.000 4.680 0.000
0.000 -1.597 4.399
Ir Ru Pt
1 2 1
direct
0.500 0.500 0.500
0.000 0.500 0.000
0.000 0.000 0.500
0.500 0.000 0.000
```

Calculated values
crystal system = orthorhombic
E_form = 0.14 eV per formula unit
N(E_F) = 4.49 states/eV/f.u.
magnetization = 0.000 μB per formula unit
energy relative to the lowest polymorph listed for this composition = 0.021 eV per atom